1.
## CoPW2 (PBE)

Data for a relaxed CoPW2 crystal.

```
CoPW2
1.0
3.8152 0.0000 0.0000
0.0000 2.7542 0.0045
0.0000 1.4810 5.2389
Co W P
1 2 1
Cartesian
1.9076 1.0588 1.3108
0.0000 2.2810 2.6348
0.0000 4.0717 5.2302
1.9076 3.1763 3.9325
```

Values from the calculation:
Size of the total moment = 0.08 μB per atom
DFT formation energy = 125 meV per atom
Symmetry = No. 10
Calculated volume = 13.756 Å³/atom


2.
## Na4TaTi3S8 (PBE)

Data for a relaxed Na4TaTi3S8 crystal.

```
Na4TaTi3S8
1.0
-2.6676 4.8235 4.3820
-5.9427 -4.9184 1.7963
6.5206 -2.4587 1.0181
S Na Ti Ta
8 4 3 1
Cartesian
-1.7678 -3.5370 2.8171
0.1509 -2.3595 5.5061
-2.2405 -0.1942 1.6903
-3.5688 2.2076 3.8723
1.4792 -4.7612 3.3242
-3.1015 -1.1110 4.9925
1.0118 -1.4427 2.2040
-0.3218 0.9833 4.3794
0.0000 0.0000 0.0000
3.2603 -1.2294 0.5091
1.9265 1.1824 2.7001
-1.3338 2.4117 2.1910
0.2890 -3.6886 1.4072
-4.3051 -0.0475 3.0892
-1.0448 -1.2768 3.5982
-2.9713 -2.4592 0.8981
```

Values from the calculation:
Size of the total moment = 0.06 μB per atom
Symmetry = No. 166
Calculated volume = 18.239 Å³/atom
Uncorrected formation energy = -1.2691 eV/atom


3.
## TaTlZn2 (PBE)

Data for a relaxed TaTlZn2 crystal.

```
TaTlZn2
1.0
9.5402 -0.0197 -0.0116
9.0584 2.9937 -0.0116
9.0584 1.4485 2.6200
Tl Zn Ta
1 2 1
Cartesian
20.6829 3.3073 1.9420
7.0013 1.1195 0.6574
27.4309 4.3863 2.5756
14.0275 2.2431 1.3171
```

Values from the calculation:
Size of the total moment = 0.08 μB per atom
DFT formation energy = 355 meV per atom
Symmetry = No. 160
Calculated volume = 18.905 Å³/atom


4.
## Rb2CdTeO (PBE)

Data for a relaxed Rb2CdTeO crystal.

```
Rb2CdTeO
1.0
-4.4843 0.6506 -4.0552
-3.8699 -2.6804 3.8493
-0.9646 3.8000 1.6763
O Rb Te Cd
1 2 1 1
Cartesian
0.0000 0.0000 0.0000
-1.9349 -1.3402 1.9247
-2.2422 0.3253 -2.0276
-4.6594 0.8851 0.7352
-0.4823 1.9000 0.8382
```

Values from the calculation:
Size of the total moment = 0.00 μB per atom
Symmetry = No. 123
Calculated volume = 31.533 Å³/atom
Uncorrected formation energy = -0.7929 eV/atom


5.
## LiCaF3 (PBE)

Data for a relaxed LiCaF3 crystal.

```
LiCaF3
1.0
3.7665 0.0000 0.0000
0.0000 3.7665 0.0000
0.0000 0.0000 3.7665
F Li Ca
3 1 1
Cartesian
0.0000 1.8833 0.0000
0.0000 0.0000 1.8833
1.8833 0.0000 0.0000
0.0000 0.0000 0.0000
1.8833 1.8833 1.8833
```

Values from the calculation:
Size of the total moment = 0.00 μB per atom
Symmetry = No. 221
Calculated volume = 10.687 Å³/atom
Uncorrected formation energy = -3.3598 eV/atom


6.
## AcDyRe2N5 (PBE)

Data for a relaxed AcDyRe2N5 crystal.

```
AcDyRe2N5
1.0
-3.8904 -0.1389 -0.8010
0.0677 -3.9577 0.3577
-1.4985 0.6224 7.1701
Ac N Dy Re
1 5 1 2
Cartesian
-0.7492 0.3112 3.5850
-2.6606 -1.7371 3.3634
-1.1503 -1.4870 5.8448
-2.2595 0.0611 1.1036
-0.2805 -1.8483 1.6830
-3.1293 0.4224 5.2655
0.0000 0.0000 0.0000
-3.0693 -1.5673 5.3192
-2.2518 -1.9069 1.4076
```

Values from the calculation:
Size of the total moment = 0.00 μB per atom
Symmetry = No. 123
Calculated volume = 12.902 Å³/atom
Uncorrected formation energy = -0.7922 eV/atom


7.
## Pr2NdZrP4 (PBE)

Data for a relaxed Pr2NdZrP4 crystal.

```
Pr2NdZrP4
1.0
-1.7488 3.3067 1.5853
-3.4714 1.0592 -6.0389
-3.8948 -4.0859 4.2262
Zr P Pr Nd
1 4 2 1
Cartesian
0.0000 0.0000 0.0000
-6.5451 -0.6802 -0.5956
-2.5699 0.9601 0.3682
-3.8044 -2.8616 1.7720
-3.5618 -0.1652 -3.5847
-2.8218 -0.3896 2.9058
-3.6831 -1.5134 -0.9063
-2.6101 2.1830 -2.2268
```

Values from the calculation:
Size of the total moment = 0.00 μB per atom
DFT formation energy = -1456 meV per atom
Symmetry = No. 10
Calculated volume = 23.830 Å³/atom


8.
## Sb2PdIF (PBE)

Data for a relaxed Sb2PdIF crystal.

```
Sb2PdIF
1.0
-3.6418 -3.6502 0.2535
1.5251 -1.1891 4.7866
-3.5613 3.6957 2.0527
I F Sb Pd
1 1 2 1
Cartesian
-1.7807 1.8478 1.0264
-2.8390 -0.5718 3.5464
-1.8209 -1.8251 0.1268
0.7625 -0.5945 2.3933
0.0000 0.0000 0.0000
```

Values from the calculation:
Size of the total moment = 0.00 μB per atom
Symmetry = No. 123
Calculated volume = 29.464 Å³/atom
Uncorrected formation energy = 0.0417 eV/atom


9.
## Ce2UP3Ir4 (PBE)

Data for a relaxed Ce2UP3Ir4 crystal.

```
Ce2UP3Ir4
1.0
4.0070 0.0000 0.0000
0.0000 4.0070 0.0000
0.0000 0.0000 11.2911
Ir P U Ce
4 3 1 2
Cartesian
2.0035 2.0035 0.0000
0.0000 2.0035 3.7031
2.0035 0.0000 7.5880
0.0000 0.0000 0.0000
0.0000 2.0035 1.3668
2.0035 0.0000 9.9243
0.0000 0.0000 5.6456
2.0035 2.0035 5.6456
2.0035 0.0000 2.6098
0.0000 2.0035 8.6813
```

Values from the calculation:
Size of the total moment = 0.25 μB per atom
DFT formation energy = -864 meV per atom
Symmetry = No. 115
Calculated volume = 18.129 Å³/atom


10.
## K3TbHo3Te8 (PBE)

Data for a relaxed K3TbHo3Te8 crystal.

```
K3TbHo3Te8
1.0
-4.0370 -1.3407 7.6609
-0.3630 -6.1144 -6.2734
8.6447 0.9347 4.7190
Te Ho K Tb
8 3 3 1
Cartesian
1.4291 -0.2691 3.2437
-0.5636 -0.9310 7.0249
2.8156 -6.2513 2.8628
1.2666 -3.3088 0.0880
2.9781 -3.2116 6.0185
-0.7427 -3.9498 3.9286
4.9874 -2.5706 2.1779
4.8084 -5.5894 -0.9184
4.1408 -2.5899 -0.7772
2.1224 -3.2602 3.0533
2.3038 -0.2030 6.1900
-0.1815 -3.0572 -3.1367
-2.2000 -3.7275 0.6938
0.0000 0.0000 0.0000
4.3223 0.4673 2.3595
```

Values from the calculation:
Size of the total moment = 0.00 μB per atom
Symmetry = No. 166
Calculated volume = 37.704 Å³/atom
Uncorrected formation energy = -1.3176 eV/atom


11.
## CoGeI2N (PBE)

Data for a relaxed CoGeI2N crystal.

```
CoGeI2N
1.0
5.7831 0.0000 0.0000
0.0000 5.7831 0.0000
0.0000 0.0000 3.5493
N I Ge Co
1 2 1 1
Cartesian
0.0000 0.0000 1.7746
0.0000 2.8915 0.0000
2.8915 0.0000 0.0000
0.0000 0.0000 0.0000
2.8915 2.8915 1.7746
```

Values from the calculation:
Size of the total moment = 0.46 μB per atom
Symmetry = No. 123
Calculated volume = 23.740 Å³/atom
Uncorrected formation energy = 1.0187 eV/atom


12.
## Te2IrBr (PBE)

Data for a relaxed Te2IrBr crystal.

```
Te2IrBr
1.0
-5.1535 16.5525 -4.9880
-5.1200 -0.5546 -5.2499
-3.1828 -1.6799 6.4134
Ir Br Te
8 8 16
Cartesian
-5.6988 10.2233 -2.0917
-7.7576 4.0947 -1.7329
-2.4122 2.1381 0.3028
-9.9147 9.5023 -4.5871
-3.5416 4.8158 0.7626
-5.9615 13.1342 -1.7534
-11.0442 12.1799 -4.1274
-7.4949 1.1838 -2.0711
-7.1228 14.3550 -6.0702
-9.1951 13.5867 -2.9326
-6.4987 6.1660 -6.4228
-4.2856 6.1489 -3.6127
-9.1707 8.1692 -0.2119
-6.3335 -0.0370 2.2456
-4.2612 0.7314 -0.8919
-6.9576 8.1521 2.5982
-3.8370 -0.1226 4.5646
-7.1650 2.3212 0.2221
-10.1610 10.4847 -2.2132
-8.8724 6.2585 -2.7716
-6.2913 11.9968 -4.0467
-4.4348 2.8797 2.1776
-4.5839 8.0596 -1.0530
-9.6193 14.4407 -8.3892
-11.4502 14.5344 -5.2654
-7.4262 8.7045 -3.7549
-9.0215 11.4384 -6.0022
-6.0301 5.6136 -0.0697
-3.2953 3.8334 -1.6114
-2.0061 -0.2164 1.4409
-7.3819 11.0563 -0.2645
-6.0744 3.2618 -3.5600
```

Values from the calculation:
Size of the total moment = 0.00 μB per atom
Symmetry = No. 15
Calculated volume = 26.556 Å³/atom
Uncorrected formation energy = -0.0346 eV/atom


For reference, final energy by record: -9.48 -5.88 -3.84 -2.98 -5.27 -9.15 -7.02 -3.33 -8.35 -4.44 -3.61 -4.24 eV per atom.